## SrV2Ru (PBE-GGA)

Data for a geometry-optimized SrV2Ru structure.

E = -0.47097 Ry per atom
DOS(E_F) = 11.90 states/eV per cell
formation enthalpy at 0 K = 0.8909 eV per atom
crystal system = tetragonal

```
SrV2Ru
1.0
-2.3803 2.3803 8.4485
2.3803 -2.3803 8.4485
2.3803 2.3803 -8.4485
Sr V Ru
2 4 2
Direct
0.3750 0.6250 0.7500 Sr
0.6250 0.3750 0.2500 Sr
0.0000 0.0000 0.0000 V
0.0000 0.0000 0.5000 V
0.0000 0.5000 0.0000 V
0.5000 0.0000 0.5000 V
0.1250 0.8750 0.2500 Ru
0.8750 0.1250 0.7500 Ru
```

## Ba3SO2 (PBE-GGA)

Data for a geometry-optimized Ba3SO2 structure.

E = -0.39662 Ry per atom
uncorrected formation energy = -12.57 eV per formula unit
DOS(E_F) = 0.00 states/eV per cell
crystal system = orthorhombic

```
Ba3SO2
1.0
5.1594 -5.8090 0.0000
5.1594 5.8090 0.0000
0.0000 0.0000 6.3101
Ba S O
6 2 4
Direct
0.0990 0.9010 0.7500 Ba
0.2153 0.4009 0.7500 Ba
0.4009 0.2153 0.2500 Ba
0.5991 0.7847 0.7500 Ba
0.7847 0.5991 0.2500 Ba
0.9010 0.0990 0.2500 Ba
0.3676 0.6324 0.2500 S
0.6324 0.3676 0.7500 S
0.1608 0.1608 0.0000 O
0.1608 0.1608 0.5000 O
0.8392 0.8392 0.0000 O
0.8392 0.8392 0.5000 O
```

## HoP2Rh5Au (PBE-GGA)

Data for a geometry-optimized HoP2Rh5Au structure.

E = -0.49349 Ry per atom
DOS(E_F) = 5.88 states/eV per cell
formation enthalpy at 0 K = -0.5552 eV per atom
crystal system = tetragonal

```
HoP2Rh5Au
1.0
4.1247 0.0000 0.0000
0.0000 4.1247 0.0000
0.0000 0.0000 8.3726
Ho P Rh Au
1 2 5 1
Direct
0.0000 0.0000 0.0000 Ho
0.5000 0.5000 0.3656 P
0.5000 0.5000 0.6344 P
0.0000 0.5000 0.2491 Rh
0.0000 0.5000 0.7509 Rh
0.5000 0.0000 0.2491 Rh
0.5000 0.0000 0.7509 Rh
0.5000 0.5000 0.0000 Rh
0.0000 0.0000 0.5000 Au
```

## Pu2Ni3Ge4Pd (PBE-GGA)

Data for a geometry-optimized Pu2Ni3Ge4Pd structure.

E = -0.55053 Ry per atom
DOS(E_F) = 26.96 states/eV per cell
formation enthalpy at 0 K = -0.5233 eV per atom
crystal system = tetragonal

```
Pu2Ni3Ge4Pd
1.0
4.1536 0.0000 0.0000
0.0000 4.1536 0.0000
0.0000 0.0000 9.8197
Pu Ni Ge Pd
2 3 4 1
Direct
0.0000 0.5000 0.2437 Pu
0.5000 0.0000 0.7563 Pu
0.0000 0.5000 0.8787 Ni
0.5000 0.0000 0.1213 Ni
0.5000 0.5000 0.5000 Ni
0.0000 0.0000 0.0000 Ge
0.0000 0.5000 0.6410 Ge
0.5000 0.0000 0.3590 Ge
0.5000 0.5000 0.0000 Ge
0.0000 0.0000 0.5000 Pd
```

What did the fourth record say?
## Pu2Ni3Ge4Pd (PBE-GGA)

Data for a geometry-optimized Pu2Ni3Ge4Pd structure.

E = -0.55053 Ry per atom
DOS(E_F) = 26.96 states/eV per cell
formation enthalpy at 0 K = -0.5233 eV per atom
crystal system = tetragonal

```
Pu2Ni3Ge4Pd
1.0
4.1536 0.0000 0.0000
0.0000 4.1536 0.0000
0.0000 0.0000 9.8197
Pu Ni Ge Pd
2 3 4 1
Direct
0.0000 0.5000 0.2437 Pu
0.5000 0.0000 0.7563 Pu
0.0000 0.5000 0.8787 Ni
0.5000 0.0000 0.1213 Ni
0.5000 0.5000 0.5000 Ni
0.0000 0.0000 0.0000 Ge
0.0000 0.5000 0.6410 Ge
0.5000 0.0000 0.3590 Ge
0.5000 0.5000 0.0000 Ge
0.0000 0.0000 0.5000 Pd
```